This record from Alexandria via LeMat-Bulk describes a crystal of BaLiIn4 relaxed with PBEsol. The functional is meta-GGA SCAN.

## Properties
Energy of formation from the pure elements in eV/atom: -0.330
N(E_F) in states/eV/f.u.: 2.77

abc: 6.1888 6.1888 6.1888
angles: 60.00 60.00 60.00
With the nearest neighbours (Å) after each atom.
Atoms (fractional coordinates):
Ba1 0.0000 0.0000 0.0000  12 In 3.63, 4 Li 3.79
In1 0.3752 0.3752 0.3752  6 In 3.09-3.10
In2 0.3752 0.3752 0.8744  6 In 3.09-3.10
In3 0.8744 0.3752 0.3752  6 In 3.09-3.10
In4 0.3752 0.8744 0.3752  6 In 3.09-3.10
Li1 0.7500 0.7500 0.7500  12 In 3.63, 4 Ba 3.79

---

This record from Alexandria via LeMat-Bulk describes a crystal of Ca2SnS4 relaxed with PBEsol. The functional is meta-GGA SCAN.

## Properties
Distance to the lowest polymorph of the same formula in meV per atom: 92
N(E_F) in states/eV/f.u.: 0.00
Formation energy from raw total energies in meV/atom: -1482

abc: 6.7597 7.2870 13.2723
angles: 90.00 90.00 90.00
With the nearest neighbours (Å) after each atom.
Atoms (fractional coordinates):
Ca1 0.9915 0.8989 0.8560  6 S 2.74-2.97
Ca2 0.4915 0.6011 0.1440  6 S 2.74-2.97
Ca3 0.0085 0.3989 0.6440  6 S 2.74-2.97
Ca4 0.5085 0.1011 0.3560  6 S 2.74-2.97
Ca5 0.0085 0.1011 0.1440  6 S 2.74-2.97
Ca6 0.5085 0.3989 0.8560  6 S 2.74-2.97
Ca7 0.9915 0.6011 0.3560  6 S 2.74-2.97
Ca8 0.4915 0.8989 0.6440  6 S 2.74-2.97
Sn1 0.0000 0.0000 0.5000  6 S 2.47-2.65
Sn2 0.5000 0.5000 0.5000  6 S 2.47-2.65
Sn3 0.0000 0.5000 0.0000  6 S 2.47-2.65
Sn4 0.5000 0.0000 0.0000  6 S 2.47-2.65
S1 0.8126 0.6957 0.5539  2 Sn 2.65, 2 Ca 2.80-2.89
S2 0.3126 0.8043 0.4461  2 Sn 2.65, 2 Ca 2.80-2.89
S3 0.1874 0.1957 0.9461  2 Sn 2.65, 2 Ca 2.80-2.89
S4 0.6874 0.3043 0.0539  2 Sn 2.65, 2 Ca 2.80-2.89
S5 0.1874 0.3043 0.4461  2 Sn 2.65, 2 Ca 2.80-2.89
S6 0.6874 0.1957 0.5539  2 Sn 2.65, 2 Ca 2.80-2.89
S7 0.8126 0.8043 0.0539  2 Sn 2.65, 2 Ca 2.80-2.89
S8 0.3126 0.6957 0.9461  2 Sn 2.65, 2 Ca 2.80-2.89
S9 0.1205 0.0406 0.6743  1 Sn 2.47, 3 Ca 2.74-2.76
S10 0.6205 0.4594 0.3257  1 Sn 2.47, 3 Ca 2.74-2.76
S11 0.8795 0.5406 0.8257  1 Sn 2.47, 3 Ca 2.74-2.76
S12 0.3795 0.9594 0.1743  1 Sn 2.47, 3 Ca 2.74-2.76
S13 0.8795 0.9594 0.3257  1 Sn 2.47, 3 Ca 2.74-2.76
S14 0.3795 0.5406 0.6743  1 Sn 2.47, 3 Ca 2.74-2.76
S15 0.1205 0.4594 0.1743  1 Sn 2.47, 3 Ca 2.74-2.76
S16 0.6205 0.0406 0.8257  1 Sn 2.47, 3 Ca 2.74-2.76

---

This record from Alexandria via LeMat-Bulk describes a crystal of TcAg2PF relaxed with PBEsol. The functional is meta-GGA SCAN.

## Properties
N(E_F) in states/eV/f.u.: 2.43
Formation energy from raw total energies in meV/atom: 447

abc: 3.6995 4.7705 4.7705
angles: 90.00 90.00 90.00
With the nearest neighbours (Å) after each atom.
Atoms (fractional coordinates):
P1 0.0000 0.0000 0.0000  2 F 1.85
Tc1 0.5000 0.5000 0.5000  8 Ag 3.02, 4 F 3.37
Ag1 0.0000 0.0000 0.5000  2 P 2.39
Ag2 0.0000 0.5000 0.0000  2 P 2.39
F1 0.5000 0.0000 0.0000  2 P 1.85